# 1
Density functional theory data (PBE) for a geometry-optimized InP2H9N2O8 structure.

Cell: 9.1137 17.9812 6.7460 Å, 90.00 132.42 90.00°
Closest atoms and distances in Å follow each position.
Space group Cc (No. 9)
Unique sites:
In 0.0000 0.1240 0.0000 (multiplicity 4)  6 O 2.13-2.21
P 0.0563 0.0750 0.5417 (multiplicity 4)  4 O 1.54-1.57
P 0.4863 0.1747 0.5373 (multiplicity 4)  4 O 1.53-1.60
H 0.1038 0.4354 0.9219 (multiplicity 4)  1 N 1.05
H 0.1249 0.2999 0.6005 (multiplicity 4)  1 N 1.04
H 0.1482 0.2525 0.8421 (multiplicity 4)  1 N 1.04
H 0.1813 0.4997 0.3272 (multiplicity 4)  1 N 1.03
H 0.3000 0.2371 0.7792 (multiplicity 4)  1 N 1.03
H 0.3233 0.3166 0.9346 (multiplicity 4)  1 N 1.06
H 0.3722 0.1297 0.7272 (multiplicity 4)  1 O 1.11
H 0.4644 0.0481 0.0859 (multiplicity 4)  1 N 1.05
H 0.4666 0.0138 0.7673 (multiplicity 4)  1 N 1.04
N 0.0575 0.4757 0.7774 (multiplicity 4)  4 H 1.03-1.05
N 0.2224 0.2761 0.7906 (multiplicity 4)  4 H 1.03-1.06
O 0.0062 0.2465 0.9723 (multiplicity 4)  1 P 1.53
O 0.1770 0.3719 0.1737 (multiplicity 4)  1 P 1.55
O 0.2889 0.0705 0.7383 (multiplicity 4)  1 H 1.34
O 0.3172 0.1292 0.2892 (multiplicity 4)  1 P 1.54
O 0.4488 0.1796 0.7374 (multiplicity 4)  1 H 1.11
O 0.4630 0.4970 0.4684 (multiplicity 4)  1 P 1.54
O 0.4724 0.3792 0.7897 (multiplicity 4)  1 P 1.55
O 0.4973 0.3782 0.1742 (multiplicity 4)  1 P 1.56, 1 H 1.70

Output
Total DFT energy (no corrections)   -5.86 eV per atom
Theoretical density   2782 kg/m³



# 2
Density functional theory data (PBE) for a geometry-optimized InHSeNO structure.

Cell: 3.1722 3.6730 6.7123 Å, 87.20 87.53 65.03°
Closest atoms and distances in Å follow each position.
Space group P1 (No. 1)
Unique sites:
In 0.0000 0.0000 0.0000 (multiplicity 1)  3 O 2.15-2.18, 2 N 2.27-2.29
H 0.7647 0.5942 0.7260 (multiplicity 1)  1 N 1.03
Se 0.4444 0.1465 0.5110 (multiplicity 1)  1 N 1.87
N 0.5781 0.8907 0.7636 (multiplicity 1)  1 H 1.03
O 0.2994 0.3821 0.1056 (multiplicity 1)  3 In 2.15-2.18

Output
Energy above the lowest structure with this stoichiometry   71 meV per atom
Total DFT energy (no corrections)   -4.86 eV per atom
Theoretical density   5273 kg/m³



# 3
Density functional theory data (PBE) for a geometry-optimized InHSeNO structure.

Cell: 3.7330 4.4852 5.2545 Å, 90.70 110.41 96.90°
Closest atoms and distances in Å follow each position.
Space group P1 (No. 1)
Unique sites:
In 0.0000 0.0000 0.0000 (multiplicity 1)  1 N 2.11, 2 O 2.20-2.21
H 0.3789 0.1899 0.7103 (multiplicity 1)  1 O 1.02
Se 0.7797 0.7217 0.5073 (multiplicity 1)  1 N 1.83
N 0.1614 0.9468 0.4217 (multiplicity 1)  1 H 1.74, 1 Se 1.83
O 0.4912 0.2397 0.9155 (multiplicity 1)  1 H 1.02

Output
Energy above the lowest structure with this stoichiometry   182 meV per atom
Total DFT energy (no corrections)   -4.75 eV per atom
Theoretical density   4568 kg/m³



# 4
Density functional theory data (PBE) for a geometry-optimized InHSeNO structure.

Cell: 3.2287 5.0598 5.2296 Å, 76.55 77.46 73.76°
Closest atoms and distances in Å follow each position.
Space group P1 (No. 1)
Unique sites:
In 0.0000 0.0000 0.0000 (multiplicity 1)  2 N 2.18, 2 O 2.21-2.22
H 0.2942 0.3392 0.2123 (multiplicity 1)  1 O 0.98
Se 0.8339 0.5177 0.6732 (multiplicity 1)  1 N 1.80
N 0.6452 0.7181 0.9356 (multiplicity 1)  1 Se 1.80
O 0.3542 0.1341 0.2457 (multiplicity 1)  1 H 0.98

Output
Energy above the lowest structure with this stoichiometry   90 meV per atom
Total DFT energy (no corrections)   -4.84 eV per atom
Theoretical density   4742 kg/m³



# 5
Density functional theory data (PBE) for a geometry-optimized InHSeNO structure.

Cell: 3.3757 3.3757 22.0626 Å, 90.00 90.00 120.00°
Closest atoms and distances in Å follow each position.
Space group R3m (No. 160, hexagonal axes)
Unique sites:
In 0.0000 0.0000 0.0000 (multiplicity 3)  3 N 2.27, 3 O 2.37
H 0.0000 0.0000 0.7721 (multiplicity 3)  1 O 0.98
Se 0.0000 0.0000 0.5317 (multiplicity 3)  1 N 1.80
N 0.0000 0.0000 0.6135 (multiplicity 3)  1 Se 1.80
O 0.0000 0.0000 0.7275 (multiplicity 3)  1 H 0.98

Output
Energy above the lowest structure with this stoichiometry   84 meV per atom
Total DFT energy (no corrections)   -4.85 eV per atom
Theoretical density   5143 kg/m³



# 6
Density functional theory data (PBE) for a geometry-optimized InHSeNO structure.

Cell: 3.2442 3.1294 6.7384 Å, 90.00 91.54 90.00°
Closest atoms and distances in Å follow each position.
Space group Pm (No. 6)
Unique sites:
In 0.0000 0.0000 0.0000 (multiplicity 1)  1 H 2.08, 1 N 2.17, 4 O 2.26-2.27
H 0.0216 0.0000 0.6923 (multiplicity 1)  1 Se 1.75
Se 0.3681 0.0000 0.4985 (multiplicity 1)  1 N 1.73, 1 H 1.75
N 0.9708 0.0000 0.3219 (multiplicity 1)  1 Se 1.73
O 0.4995 0.5000 0.9702 (multiplicity 1)  4 In 2.26-2.27

Output
Energy above the lowest structure with this stoichiometry   421 meV per atom
Total DFT energy (no corrections)   -4.51 eV per atom
Theoretical density   5458 kg/m³



# 7
Density functional theory data (PBE) for a geometry-optimized InHSeNO structure.

Cell: 3.4535 3.4535 6.9475 Å, 90.00 90.00 120.00°
Closest atoms and distances in Å follow each position.
Space group P3m1 (No. 156)
Unique sites:
In 0.0000 0.0000 0.0000 (multiplicity 1)  3 N 2.24, 3 O 2.33
H 0.6667 0.3333 0.3167 (multiplicity 1)  1 O 0.99
Se 0.3333 0.6667 0.5902 (multiplicity 1)  1 N 1.84
N 0.3333 0.6667 0.8545 (multiplicity 1)  1 Se 1.84
O 0.6667 0.3333 0.1742 (multiplicity 1)  1 H 0.99

Output
Energy above the lowest structure with this stoichiometry   0 meV per atom
Total DFT energy (no corrections)   -4.93 eV per atom
Theoretical density   5202 kg/m³



# 8
Density functional theory data (PBE) for a geometry-optimized InHSeNO structure.

Cell: 6.0335 3.4222 7.2955 Å, 90.00 106.42 90.00°
Closest atoms and distances in Å follow each position.
Space group Cm (No. 8)
Unique sites:
In 0.0000 0.0000 0.0000 (multiplicity 2)  3 N 2.23, 3 O 2.33-2.36
H 0.2718 0.5000 0.3154 (multiplicity 2)  1 O 0.99
Se 0.1929 0.0000 0.5941 (multiplicity 2)  1 N 1.84
N 0.2821 0.0000 0.8569 (multiplicity 2)  1 Se 1.84
O 0.2254 0.5000 0.1741 (multiplicity 2)  1 H 0.99

Output
Energy above the lowest structure with this stoichiometry   5 meV per atom
Total DFT energy (no corrections)   -4.93 eV per atom
Theoretical density   5167 kg/m³



# 9
Density functional theory data (PBE) for a geometry-optimized InHSeNO structure.

Cell: 6.7820 3.0482 7.0814 Å, 90.00 111.31 90.00°
Closest atoms and distances in Å follow each position.
Space group Cm (No. 8)
Unique sites:
In 0.0000 0.0000 0.0000 (multiplicity 2)  2 H 1.91
H 0.1599 0.5000 0.1332 (multiplicity 2)  2 In 1.91
Se 0.0961 0.5000 0.5214 (multiplicity 2)  2 N 1.89
N 0.0114 0.0000 0.3523 (multiplicity 2)  2 Se 1.89
O 0.2581 0.0000 0.8649 (multiplicity 2)  3 In 2.19-2.28

Output
Energy above the lowest structure with this stoichiometry   511 meV per atom
Total DFT energy (no corrections)   -4.42 eV per atom
Theoretical density   5474 kg/m³



# 10
Density functional theory data (PBE) for a geometry-optimized In2HPdN structure.

Cell: 5.0016 5.0016 2.7876 Å, 90.00 90.00 90.00°
Closest atoms and distances in Å follow each position.
Space group P4/mmm (No. 123)
Unique sites:
In 0.0000 0.5000 0.0000 (multiplicity 2)  2 H 2.50, 2 In 2.79
H 0.0000 0.0000 0.0000 (multiplicity 1)  2 N 1.39
Pd 0.5000 0.5000 0.5000 (multiplicity 1)  2 Pd 2.79, 8 In 2.86
N 0.0000 0.0000 0.5000 (multiplicity 1)  2 H 1.39

Output
Total DFT energy (no corrections)   -4.13 eV per atom
Theoretical density   8360 kg/m³



# 11
Density functional theory data (PBE) for a geometry-optimized InHPdN2 structure.

Cell: 4.1243 4.1243 3.3143 Å, 90.00 90.00 90.00°
Closest atoms and distances in Å follow each position.
Space group P4/mmm (No. 123)
Unique sites:
In 0.0000 0.0000 0.0000 (multiplicity 1)  8 N 2.65, 4 H 2.92
H 0.5000 0.5000 0.0000 (multiplicity 1)  2 Pd 1.66
Pd 0.5000 0.5000 0.5000 (multiplicity 1)  2 H 1.66
N 0.0000 0.5000 0.5000 (multiplicity 2)  2 Pd 2.06

Output
Total DFT energy (no corrections)   -4.61 eV per atom
Theoretical density   7371 kg/m³



# 12
Density functional theory data (PBE) for a geometry-optimized Pm6In2HN structure.

Cell: 7.0511 9.9602 7.0511 Å, 90.00 90.00 90.00°
Closest atoms and distances in Å follow each position.
Space group Pmmn (No. 59, origin choice 2)
Unique sites:
Pm 0.0065 0.2500 0.0068 (multiplicity 4)  1 N 2.43, 1 H 2.56
Pm 0.0065 0.2500 0.4937 (multiplicity 4)  1 N 2.43, 1 H 2.56
Pm 0.2500 0.0058 0.2500 (multiplicity 4)  1 N 2.43, 1 H 2.55
In 0.2500 0.0000 0.7500 (multiplicity 4)  12 Pm 3.52-3.53
H 0.2500 0.7500 0.2495 (multiplicity 2)  6 Pm 2.55-2.56
N 0.2500 0.2500 0.2503 (multiplicity 2)  6 Pm 2.43

Output
Total DFT energy (no corrections)   -5.20 eV per atom
Theoretical density   7475 kg/m³